The following is a PBE-GGA calculation of a relaxed structure of Tl9Pd13, from OQMD.

The structure in POSCAR format:
```
Tl9Pd13
1.0
-3.385 -4.332 -7.278
0.401 -4.252 8.059
-5.236 1.937 1.283
Tl Pd
9 13
Direct
0.193 0.387 0.747
0.807 0.193 0.253
0.613 0.807 0.747
0.387 0.193 0.253
0.193 0.807 0.747
0.807 0.613 0.253
0.333 0.667 0.249
0.000 0.000 0.000
0.667 0.333 0.751
0.682 0.841 0.252
0.500 0.000 0.500
0.000 0.000 0.500
0.500 0.000 0.000
0.000 0.500 0.500
0.841 0.682 0.748
0.000 0.500 0.000
0.159 0.841 0.252
0.159 0.318 0.252
0.841 0.159 0.748
0.318 0.159 0.748
0.500 0.500 0.000
0.500 0.500 0.500
```

Summary:
Its distance to the lowest polymorph of the same formula is 0.0 kJ/mol of atoms. Its calculated total energy is -4.24 eV per atom.

***

The following is a PBE-GGA calculation of a relaxed structure of TlPd10, from OQMD.

The structure in POSCAR format:
```
TlPd10
1.0
-4.073 2.362 -0.825
-2.741 0.368 -3.899
-16.125 -24.702 9.030
Pd Tl
20 2
Direct
0.554 0.554 0.254
0.750 0.750 0.428
0.950 0.950 0.601
0.350 0.350 0.659
0.549 0.549 0.543
0.050 0.050 0.399
0.254 0.254 0.283
0.049 0.049 0.687
0.451 0.451 0.457
0.144 0.144 0.775
0.850 0.850 0.514
0.150 0.150 0.486
0.951 0.951 0.313
0.650 0.650 0.629
0.856 0.856 0.225
0.250 0.250 0.572
0.650 0.650 0.341
0.746 0.746 0.717
0.350 0.350 0.371
0.446 0.446 0.746
0.845 0.845 0.809
0.155 0.155 0.191
```

Summary:
Its calculated total energy is -4.92 eV per atom.

***

Q: Which formula does entry 1 have?
A: Tl9Pd13

***

Q: Which value of calculated total energy does entry 1 give?
A: -4.24 eV per atom